1.
The following is a PBE-GGA calculation of an optimized crystal structure of Cs3YS3, from Alexandria via LeMat-Bulk.

POSCAR file:
```
Cs3YS3
1.0
-7.7450 -0.4413 -3.9139
5.7304 0.0899 -7.0870
0.6627 -14.7264 0.3491
Cs Y S
12 4 12
direct
0.7174 0.3846 0.8896 Cs
0.7826 0.1154 0.3896 Cs
0.2826 0.6154 0.1104 Cs
0.2174 0.8846 0.6104 Cs
0.8640 0.4754 0.6249 Cs
0.6360 0.0246 0.1249 Cs
0.1360 0.5246 0.3751 Cs
0.3640 0.9754 0.8751 Cs
0.2877 0.4606 0.8276 Cs
0.2123 0.0394 0.3276 Cs
0.7123 0.5394 0.1724 Cs
0.7877 0.9606 0.6724 Cs
0.3921 0.3404 0.5666 Y
0.1079 0.1596 0.0666 Y
0.6079 0.6596 0.4334 Y
0.8921 0.8404 0.9334 Y
0.0339 0.8660 0.0939 S
0.4661 0.6340 0.5939 S
0.9661 0.1340 0.9061 S
0.5339 0.3660 0.4061 S
0.4028 0.2692 0.0435 S
0.0972 0.2308 0.5435 S
0.5972 0.7308 0.9565 S
0.9028 0.7692 0.4565 S
0.5184 0.2035 0.6907 S
0.9816 0.2965 0.1907 S
0.4816 0.7965 0.3093 S
0.0184 0.7035 0.8093 S
```

## Properties
theoretical density	3.40	g cm⁻³
formation energy (no corrections)	-1.463	eV per atom
volume	1142	Å³ per cell
space group	P2_1/c, No. 14
polymorph energy (0 for the lowest one)	0.250	kcal/mol of atoms
D(E_F)	0.0000	states/eV per atom

2.
The following is a PBE-GGA calculation of an optimized crystal structure of CuSbRh2, from Alexandria via LeMat-Bulk.

POSCAR file:
```
CuSbRh2
1.0
-0.3606 -0.5432 3.3424
1.2105 -3.1598 -0.3830
5.0828 1.8444 0.8481
Cu Rh Sb
1 2 1
direct
0.5000 0.5000 0.7809 Cu
0.0000 0.0000 0.9675 Rh
0.5000 0.5000 0.2651 Rh
0.0000 0.0000 0.4866 Sb
```

## Properties
theoretical density	10.23	g cm⁻³
formation energy (no corrections)	-0.003	eV per atom
volume	63	Å³ per cell
space group	P4mm, No. 99
polymorph energy (0 for the lowest one)	6.951	kcal/mol of atoms
D(E_F)	1.3702	states/eV per atom

3.
The following is a PBE-GGA calculation of an optimized crystal structure of Nb2Pd, from Alexandria via LeMat-Bulk.

POSCAR file:
```
Nb2Pd
1.0
3.3226 0.0000 0.0000
0.0000 3.3226 0.0000
0.0000 0.0000 9.4159
Nb Pd
4 2
direct
0.5000 0.0000 0.2351 Nb
0.0000 0.5000 0.4157 Nb
0.5000 0.0000 0.5843 Nb
0.0000 0.5000 0.7649 Nb
0.5000 0.0000 0.9144 Pd
0.0000 0.5000 0.0856 Pd
```

## Properties
theoretical density	9.34	g cm⁻³
volume	104	Å³ per cell
space group	P4/nmm, No. 129
energy relative to the elements	-0.2332	eV/atom
D(E_F)	0.7716	states/eV per atom

4.
The following is a PBE-GGA calculation of an optimized crystal structure of Ce2Ni5Pt2Rh, from Alexandria via LeMat-Bulk.

POSCAR file:
```
Ce2Ni5Pt2Rh
1.0
3.8480 0.0000 0.0000
0.0000 9.1557 0.0000
0.0000 0.0000 9.1557
Ce Ni Pt Rh
4 10 4 2
direct
0.0000 0.6787 0.1787 Ce
0.0000 0.3213 0.8213 Ce
0.0000 0.1787 0.3213 Ce
0.0000 0.8213 0.6787 Ce
0.5000 0.1946 0.0476 Ni
0.5000 0.8054 0.9524 Ni
0.5000 0.0476 0.8054 Ni
0.5000 0.6946 0.4524 Ni
0.5000 0.9524 0.1946 Ni
0.5000 0.3054 0.5476 Ni
0.5000 0.5476 0.6946 Ni
0.5000 0.4524 0.3054 Ni
0.5000 0.5000 0.0000 Ni
0.5000 0.0000 0.5000 Ni
0.0000 0.1234 0.6234 Pt
0.0000 0.8766 0.3766 Pt
0.0000 0.6234 0.8766 Pt
0.0000 0.3766 0.1234 Pt
0.0000 0.0000 0.0000 Rh
0.0000 0.5000 0.5000 Rh
```

## Properties
theoretical density	10.98	g cm⁻³
volume	323	Å³ per cell
space group	P4/mbm, No. 127
energy relative to the elements	-0.3556	eV/atom
D(E_F)	1.2499	states/eV per atom

5.
The following is a PBE-GGA calculation of an optimized crystal structure of Co2Mo, from Alexandria via LeMat-Bulk.

POSCAR file:
```
Co2Mo
1.0
1.3086 4.7571 -0.0100
-1.3086 4.7571 -0.0100
0.0000 1.4655 5.9750
Co Mo
4 2
direct
0.9995 0.9995 0.0098 Co
0.6096 0.6096 0.2755 Co
0.3263 0.3263 0.3345 Co
0.6723 0.6723 0.6608 Co
0.9546 0.9546 0.5993 Mo
0.2711 0.2711 0.9534 Mo
```

## Properties
theoretical density	9.54	g cm⁻³
volume	74	Å³ per cell
space group	Cm, No. 8
energy relative to the elements	0.1388	eV/atom
D(E_F)	1.2633	states/eV per atom

6.
The following is a PBE-GGA calculation of an optimized crystal structure of PmCuPdAu, from Alexandria via LeMat-Bulk.

POSCAR file:
```
PmCuPdAu
1.0
4.7727 0.0000 0.0000
2.3863 4.1333 0.0000
2.3863 1.3778 3.8969
Au Cu Pd Pm
1 1 1 1
direct
0.5000 0.5000 0.5000 Au
0.2500 0.2500 0.2500 Cu
0.7500 0.7500 0.7500 Pd
0.0000 0.0000 0.0000 Pm
```

## Properties
theoretical density	11.06	g cm⁻³
volume	77	Å³ per cell
space group	F-43m, No. 216
energy relative to the elements	-0.4569	eV/atom
D(E_F)	0.7330	states/eV per atom

7.
The following is a PBE-GGA calculation of an optimized crystal structure of Hg5PdPb2, from Alexandria via LeMat-Bulk.

POSCAR file:
```
Hg5PdPb2
1.0
5.2040 -1.2088 2.7984
-2.4527 4.7455 2.7973
-0.4764 -0.6120 8.3866
Hg Pd Pb
5 1 2
direct
0.7518 0.7520 0.7970 Hg
0.6242 0.0833 0.0997 Hg
0.0828 0.6236 0.1000 Hg
0.0829 0.0826 0.1926 Hg
0.4099 0.4102 0.3369 Hg
0.1442 0.1440 0.8015 Pd
0.3719 0.7553 0.6131 Pb
0.7552 0.3720 0.6132 Pb
```

## Properties
theoretical density	12.45	g cm⁻³
volume	203	Å³ per cell
space group	Cm, No. 8
energy relative to the elements	-0.0082	eV/atom
D(E_F)	0.3228	states/eV per atom

8.
The following is a PBE-GGA calculation of an optimized crystal structure of LiCoBr, from Alexandria via LeMat-Bulk.

POSCAR file:
```
LiCoBr
1.0
6.0718 0.0107 -0.0085
4.9103 3.0691 0.0041
1.1614 -0.6619 2.9860
Br Co Li
1 1 1
direct
0.0076 0.0076 0.9924 Br
0.6526 0.6526 0.3474 Co
0.3398 0.3398 0.6602 Li
```

## Properties
theoretical density	4.36	g cm⁻³
formation energy (no corrections)	0.235	eV per atom
volume	56	Å³ per cell
space group	Fmm2, No. 42
polymorph energy (0 for the lowest one)	3.685	kcal/mol of atoms
D(E_F)	0.9194	states/eV per atom

9.
The following is a PBE-GGA calculation of an optimized crystal structure of LaHS, from Alexandria via LeMat-Bulk.

POSCAR file:
```
LaHS
1.0
-1.8792 -1.4503 3.9026
2.4413 0.0317 3.8606
-0.9938 2.9910 3.3063
H S La
1 1 1
direct
0.5000 0.5000 0.5000 H
0.0000 0.0000 0.0000 S
0.2500 0.2500 0.2500 La
```

## Properties
theoretical density	4.24	g cm⁻³
volume	67	Å³ per cell
space group	F-43m, No. 216
total DFT energy (no corrections)	-5.5213	eV/atom
D(E_F)	0.0000	states/eV per atom

10.
The following is a PBE-GGA calculation of an optimized crystal structure of Tl2Pd5Au2, from Alexandria via LeMat-Bulk.

POSCAR file:
```
Tl2Pd5Au2
1.0
-2.2551 -0.6410 4.6615
-6.3565 -5.7185 -3.8676
6.9591 -3.2620 -0.0090
Tl Pd Au
4 10 4
direct
0.1008 0.6962 0.2459 Tl
0.8999 0.4328 0.7524 Tl
0.6457 0.1964 0.2461 Tl
0.3519 0.9325 0.7522 Tl
0.1223 0.7592 0.9028 Pd
0.7188 0.8707 0.0998 Pd
0.2806 0.2591 0.9028 Pd
0.8808 0.3706 0.0998 Pd
0.3521 0.9797 0.2993 Pd
0.5572 0.6521 0.7016 Pd
0.4475 0.4794 0.2993 Pd
0.6442 0.1518 0.7017 Pd
0.0020 0.5665 0.5012 Pd
0.9992 0.0665 0.5012 Pd
0.9978 0.0639 0.9986 Au
0.5007 0.5639 0.9985 Au
0.2850 0.3155 0.4987 Au
0.7136 0.8151 0.4983 Au
```

## Properties
theoretical density	13.52	g cm⁻³
volume	328	Å³ per cell
space group	Cc, No. 9
energy relative to the elements	-0.0801	eV/atom
polymorph energy (0 for the lowest one)	0.194	kcal/mol of atoms
D(E_F)	0.5997	states/eV per atom

11.
The following is a PBE-GGA calculation of an optimized crystal structure of PrTl3I6, from Alexandria via LeMat-Bulk.

POSCAR file:
```
PrTl3I6
1.0
-4.1550 7.1752 0.5963
-2.4345 -2.1293 8.6586
9.5106 6.2420 4.2091
Pr Tl I
2 6 12
direct
0.5000 0.5000 0.5000 Pr
0.0000 0.0000 0.0000 Pr
0.5346 0.9049 0.7770 Tl
0.5000 0.5000 0.0000 Tl
0.4654 0.0951 0.2230 Tl
0.0346 0.5951 0.2770 Tl
0.0000 0.0000 0.5000 Tl
0.9654 0.4049 0.7230 Tl
0.6861 0.1700 0.9486 I
0.6588 0.2127 0.5839 I
0.6531 0.4365 0.2589 I
0.3469 0.5635 0.7411 I
0.3412 0.7873 0.4161 I
0.3139 0.8300 0.0514 I
0.1861 0.3300 0.4486 I
0.1588 0.2873 0.0839 I
0.1531 0.0635 0.7589 I
0.8469 0.9365 0.2411 I
0.8412 0.7127 0.9161 I
0.8139 0.6700 0.5514 I
```

## Properties
theoretical density	5.42	g cm⁻³
formation energy (no corrections)	-0.963	eV per atom
volume	929	Å³ per cell
space group	P2_1/c, No. 14
D(E_F)	0.0000	states/eV per atom

12.
The following is a PBE-GGA calculation of an optimized crystal structure of RbTcSb2Te, from Alexandria via LeMat-Bulk.

POSCAR file:
```
RbTcSb2Te
1.0
-1.6217 4.0675 3.7047
-4.9158 0.6631 -2.8799
-2.5347 -4.0928 3.3841
Sb Te Tc Rb
2 1 1 1
direct
0.0000 0.5000 0.0000 Sb
0.5000 0.0000 0.0000 Sb
0.0000 0.0000 0.5000 Te
0.5000 0.5000 0.5000 Tc
0.0000 0.0000 0.0000 Rb
```

## Properties
theoretical density	4.76	g cm⁻³
formation energy (no corrections)	2.401	eV per atom
volume	194	Å³ per cell
space group	P4/mmm, No. 123
polymorph energy (0 for the lowest one)	52.522	kcal/mol of atoms
D(E_F)	3.9531	states/eV per atom